[1]
VASP calculation (meta-GGA SCAN) on a crystal of Ag3GeSb relaxed with PBEsol.

Values from the calculation:
Raw total energy   -147.76 eV per cell
SG   No. 221
Energy relative to the elements, uncorrected   0.539 eV/atom

Cell lengths 4.829, 4.829, 4.829 Å; angles 90.00, 90.00, 90.00 degrees
Fractional positions:
Ag1 0.000 0.500 0.000
Ag2 0.500 0.000 0.000
Ag3 0.000 0.000 0.500
Ge1 0.000 0.000 0.000
Sb1 0.500 0.500 0.500


[2]
VASP calculation (meta-GGA SCAN) on a crystal of ScAgSnGe2 relaxed with PBEsol.

Values from the calculation:
Raw total energy   -116.49 eV per cell
Formation energy   0.64 eV/atom
SG   No. 123

Cell lengths 5.024, 5.024, 5.110 Å; angles 90.00, 90.00, 90.00 degrees
Fractional positions:
Sn1 0.500 0.500 0.500
Sc1 0.000 0.000 0.000
Ag1 0.000 0.000 0.500
Ge1 0.000 0.500 0.000
Ge2 0.500 0.000 0.000


[3]
VASP calculation (meta-GGA SCAN) on a crystal of Ag8GeSe6 relaxed with PBEsol.

Values from the calculation:
Raw total energy   -786.01 eV per cell
SG   No. 31
Energy relative to the elements, uncorrected   -0.167 eV/atom

Cell lengths 7.601, 7.859, 10.669 Å; angles 90.00, 90.00, 90.00 degrees
Fractional positions:
Ag1 0.457 0.307 0.769
Ag2 0.457 0.693 0.769
Ag3 0.101 0.788 0.866
Ag4 0.543 0.807 0.269
Ag5 0.625 0.000 0.045
Ag6 0.723 0.000 0.478
Ag7 0.166 0.205 0.152
Ag8 0.834 0.295 0.652
Ag9 0.277 0.500 0.978
Ag10 0.834 0.705 0.652
Ag11 0.543 0.193 0.269
Ag12 0.375 0.500 0.545
Ag13 0.166 0.795 0.152
Ag14 0.899 0.712 0.366
Ag15 0.101 0.212 0.866
Ag16 0.899 0.288 0.366
Se1 0.747 0.250 0.898
Se2 0.253 0.250 0.398
Se3 0.171 0.500 0.742
Se4 0.505 0.500 0.156
Se5 0.495 0.000 0.656
Se6 0.998 0.500 0.157
Se7 0.747 0.750 0.898
Se8 0.293 0.000 0.992
Se9 0.707 0.500 0.492
Se10 0.253 0.750 0.398
Se11 0.002 0.000 0.657
Se12 0.829 0.000 0.242
Ge1 0.250 0.000 0.522
Ge2 0.750 0.500 0.022


[4]
VASP calculation (meta-GGA SCAN) on a crystal of Si2Ag2Ge relaxed with PBEsol.

Values from the calculation:
Raw total energy   -99.70 eV per cell
SG   No. 139
Energy relative to the elements, uncorrected   0.430 eV/atom

Cell lengths 3.475, 3.475, 7.556 Å; angles 103.30, 103.30, 90.00 degrees
Fractional positions:
Ge1 0.000 0.000 0.000
Si1 0.250 0.750 0.500
Si2 0.750 0.250 0.500
Ag1 0.601 0.601 0.201
Ag2 0.399 0.399 0.799


[5]
VASP calculation (meta-GGA SCAN) on a crystal of SrAgGe relaxed with PBEsol.

Values from the calculation:
Raw total energy   -370.59 eV per cell
Formation energy   -0.46 eV/atom
SG   No. 8

Cell lengths 4.621, 5.933, 14.570 Å; angles 78.66, 80.88, 67.08 degrees
Fractional positions:
Ge1 0.075 0.114 0.737
Ge2 0.305 0.424 0.966
Ge3 0.301 0.748 0.651
Ge4 0.924 0.891 0.262
Ge5 0.692 0.273 0.342
Sr1 0.241 0.333 0.185
Sr2 0.004 0.993 0.999
Sr3 0.611 0.198 0.580
Sr4 0.770 0.650 0.811
Sr5 0.374 0.829 0.422
Ag1 0.707 0.552 0.033
Ag2 0.477 0.235 0.810
Ag3 0.531 0.732 0.207
Ag4 0.908 0.596 0.589
Ag5 0.081 0.433 0.405


[6]
VASP calculation (meta-GGA SCAN) on a crystal of Ta2Ag2Ge relaxed with PBEsol.

Values from the calculation:
Raw total energy   -211.84 eV per cell
Formation energy   0.63 eV/atom
SG   No. 139

Cell lengths 3.536, 3.536, 7.670 Å; angles 103.33, 103.33, 90.00 degrees
Fractional positions:
Ag1 0.750 0.250 0.500
Ag2 0.250 0.750 0.500
Ta1 0.410 0.410 0.820
Ta2 0.590 0.590 0.180
Ge1 0.000 0.000 0.000